Record 1
Material: PrPa2TcC4
Method: DFT, PBE-GGA
State: relaxed

Geometry as POSCAR:
```
PrPa2TcC4
1.0
1.824 -6.005 0.000
1.824 6.005 0.000
0.000 0.000 11.946
Pr Pa Tc C
2 4 2 8
direct
0.116 0.884 0.750
0.884 0.116 0.250
0.368 0.632 0.544
0.368 0.632 0.956
0.632 0.368 0.044
0.632 0.368 0.456
0.148 0.852 0.250
0.852 0.148 0.750
0.000 0.000 0.000
0.000 0.000 0.500
0.259 0.741 0.124
0.259 0.741 0.376
0.425 0.575 0.750
0.575 0.425 0.250
0.741 0.259 0.624
0.741 0.259 0.876
```

- Volume: 16.352 Å³ per atom
- Final energy: -9.03 eV per atom
- DOS(E_F): 10.05 states/eV/cell
- Crystal system: orthorhombic

Record 2
Material: Li2ScMnOs
Method: DFT, PBE-GGA
State: relaxed

Geometry as POSCAR:
```
Li2ScMnOs
1.0
4.578 0.000 0.000
0.000 4.578 0.000
0.000 0.000 4.438
Li Sc Mn Os
2 1 1 1
direct
0.000 0.500 0.000
0.500 0.000 0.000
0.000 0.000 0.500
0.500 0.500 0.500
0.500 0.500 0.000
```

- Volume: 18.603 Å³ per atom
- Final energy: -5.41 eV per atom
- DOS(E_F): 3.45 states/eV/cell
- Crystal system: tetragonal

Record 3
Material: ScSbS3
Method: DFT, PBE-GGA
State: relaxed

Geometry as POSCAR:
```
ScSbS3
1.0
6.569 0.000 0.000
-3.285 5.689 0.000
0.000 0.000 6.597
Sc Sb S
2 2 6
direct
0.000 0.000 0.000
0.000 0.000 0.500
0.333 0.667 0.000
0.333 0.667 0.500
0.011 0.315 0.250
0.011 0.696 0.750
0.304 0.315 0.750
0.304 0.989 0.250
0.685 0.696 0.250
0.685 0.989 0.750
```

- Energy above the most stable polymorph in this dataset: 12.88 kJ per mole of atoms
- Volume: 24.653 Å³ per atom
- Final energy: -5.49 eV per atom
- Crystal system: hexagonal

Record 4
Material: Zn2Hg2Rh
Method: DFT, PBE-GGA
State: relaxed

Geometry as POSCAR:
```
Zn2Hg2Rh
1.0
6.717 0.000 0.000
0.000 6.717 0.000
0.000 0.000 4.002
Zn Hg Rh
4 4 2
direct
0.140 0.360 0.000
0.360 0.860 0.000
0.640 0.140 0.000
0.860 0.640 0.000
0.168 0.668 0.500
0.332 0.168 0.500
0.668 0.832 0.500
0.832 0.332 0.500
0.000 0.000 0.000
0.500 0.500 0.000
```

- Volume: 18.054 Å³ per atom
- Final energy: -1.95 eV per atom
- DOS(E_F): 4.42 states/eV/cell
- Crystal system: tetragonal

Record 5
Material: Cs2TeOF6
Method: DFT, PBE-GGA
State: relaxed

Geometry as POSCAR:
```
Cs2TeOF6
1.0
-3.311 3.311 5.103
3.311 -3.311 5.103
3.311 3.311 -5.103
Cs Te O F
2 1 1 6
direct
0.250 0.750 0.500
0.750 0.250 0.500
0.000 0.000 0.000
0.500 0.500 0.000
0.204 0.204 0.000
0.222 0.222 0.445
0.222 0.778 0.000
0.778 0.222 0.000
0.778 0.778 0.555
0.796 0.796 0.000
```

- Volume: 22.375 Å³ per atom
- Final energy: -4.05 eV per atom
- DOS(E_F): 0.00 states/eV/cell
- Crystal system: tetragonal

Record 6
Material: Nd5Hg4Rh
Method: DFT, PBE-GGA
State: relaxed

Geometry as POSCAR:
```
Nd5Hg4Rh
1.0
3.746 0.000 0.000
0.000 3.746 0.000
0.000 0.000 19.224
Nd Hg Rh
5 4 1
direct
0.000 0.000 0.000
0.000 0.000 0.206
0.000 0.000 0.415
0.000 0.000 0.585
0.000 0.000 0.794
0.500 0.500 0.103
0.500 0.500 0.307
0.500 0.500 0.693
0.500 0.500 0.897
0.500 0.500 0.500
```

- Volume: 26.972 Å³ per atom
- Final energy: -3.74 eV per atom
- DOS(E_F): 9.42 states/eV/cell
- Crystal system: tetragonal

Record 7
Material: ErFe2B
Method: DFT, PBE-GGA
State: relaxed

Geometry as POSCAR:
```
ErFe2B
1.0
1.853 1.070 4.834
-1.853 1.070 4.834
0.000 -2.139 4.834
Er Fe B
1 2 1
direct
0.000 0.000 0.000
0.188 0.188 0.188
0.812 0.812 0.812
0.500 0.500 0.500
```

- Volume: 14.372 Å³ per atom
- Final energy: -7.19 eV per atom
- DOS(E_F): 3.46 states/eV/cell
- Crystal system: trigonal

Record 8
Material: Y2AlTl
Method: DFT, PBE-GGA
State: relaxed

Geometry as POSCAR:
```
Y2AlTl
1.0
4.726 -1.830 0.000
4.726 1.830 0.000
-1.381 0.000 6.427
Y Al Tl
2 1 1
direct
0.245 0.245 0.235
0.755 0.755 0.765
0.500 0.500 0.000
0.000 0.000 0.500
```

- Volume: 27.783 Å³ per atom
- Final energy: -4.99 eV per atom
- DOS(E_F): 3.03 states/eV/cell
- Crystal system: monoclinic

Record 9
Material: NaTh2Rh9
Method: DFT, PBE-GGA
State: relaxed

Geometry as POSCAR:
```
NaTh2Rh9
1.0
2.658 1.535 8.814
-2.658 1.535 8.814
0.000 -3.070 8.814
Na Th Rh
1 2 9
direct
0.000 0.000 0.000
0.134 0.134 0.134
0.866 0.866 0.866
0.081 0.583 0.583
0.333 0.333 0.333
0.417 0.417 0.919
0.417 0.919 0.417
0.500 0.500 0.500
0.583 0.081 0.583
0.583 0.583 0.081
0.667 0.667 0.667
0.919 0.417 0.417
```

- Volume: 17.980 Å³ per atom
- Final energy: -7.23 eV per atom
- DOS(E_F): 16.48 states/eV/cell
- Crystal system: trigonal

Record 10
Material: TiSn
Method: DFT, PBE-GGA
State: relaxed

Geometry as POSCAR:
```
TiSn
1.0
0.000 3.155 3.155
3.155 0.000 3.155
3.155 3.155 0.000
Ti Sn
1 1
direct
0.000 0.000 0.000
0.750 0.750 0.750
```

- Volume: 31.411 Å³ per atom
- Final energy: -5.19 eV per atom
- DOS(E_F): 0.23 states/eV/cell
- Crystal system: cubic

Record 11
Material: Nd7Y12Ho
Method: DFT, PBE-GGA
State: relaxed

Geometry as POSCAR:
```
Nd7Y12Ho
1.0
6.031 3.482 5.469
-6.031 3.482 5.469
0.000 -6.964 5.469
Nd Y Ho
7 12 1
direct
0.000 0.000 0.000
0.103 0.346 0.420
0.346 0.420 0.103
0.420 0.103 0.346
0.580 0.897 0.654
0.654 0.580 0.897
0.897 0.654 0.580
0.003 0.363 0.885
0.115 0.997 0.637
0.228 0.751 0.356
0.249 0.644 0.772
0.356 0.228 0.751
0.363 0.885 0.003
0.637 0.115 0.997
0.644 0.772 0.249
0.751 0.356 0.228
0.772 0.249 0.644
0.885 0.003 0.363
0.997 0.637 0.115
0.500 0.500 0.500
```

- Energy above the most stable polymorph in this dataset: 0.00 kJ per mole of atoms
- Volume: 34.458 Å³ per atom
- Final energy: -5.55 eV per atom
- DOS(E_F): 38.35 states/eV/cell
- Crystal system: trigonal

Record 12
Material: MnHPt2Rh
Method: DFT, PBE-GGA
State: relaxed

Geometry as POSCAR:
```
MnHPt2Rh
1.0
3.977 0.000 0.000
0.000 3.977 0.000
0.000 0.000 3.957
Mn H Pt Rh
1 1 2 1
direct
0.000 0.000 0.000
0.500 0.500 0.500
0.000 0.500 0.500
0.500 0.000 0.500
0.500 0.500 0.000
```

- Energy above the most stable polymorph in this dataset: 0.00 kJ per mole of atoms
- Volume: 12.518 Å³ per atom
- Final energy: -6.55 eV per atom
- DOS(E_F): 4.05 states/eV/cell
- Crystal system: tetragonal

Record 13
Material: AcCeMgAu
Method: DFT, PBE-GGA
State: relaxed

Geometry as POSCAR:
```
AcCeMgAu
1.0
0.000 3.768 3.768
3.768 0.000 3.768
3.768 3.768 0.000
Ac Ce Mg Au
1 1 1 1
direct
0.000 0.000 0.000
0.250 0.250 0.250
0.750 0.750 0.750
0.500 0.500 0.500
```

- Volume: 26.741 Å³ per atom
- Final energy: -3.81 eV per atom
- DOS(E_F): 5.83 states/eV/cell
- Crystal system: cubic

Record 14
Material: ErAsPt
Method: DFT, PBE-GGA
State: relaxed

Geometry as POSCAR:
```
ErAsPt
1.0
4.285 0.000 0.000
-2.143 3.711 0.000
0.000 0.000 7.627
Er As Pt
2 2 2
direct
0.000 0.000 0.000
0.000 0.000 0.500
0.333 0.667 0.250
0.667 0.333 0.750
0.333 0.667 0.750
0.667 0.333 0.250
```

- Volume: 20.213 Å³ per atom
- Final energy: -6.27 eV per atom
- DOS(E_F): 2.18 states/eV/cell
- Crystal system: hexagonal

Record 15
Material: Ag2OsBr
Method: DFT, PBE-GGA
State: relaxed

Geometry as POSCAR:
```
Ag2OsBr
1.0
1.471 -2.512 0.000
1.471 2.512 0.000
0.000 0.000 10.029
Ag Os Br
2 1 1
direct
0.000 0.000 0.236
0.000 0.000 0.764
0.500 0.500 0.000
0.500 0.500 0.500
```

- Energy above the most stable polymorph in this dataset: 5.74 kJ per mole of atoms
- Volume: 18.531 Å³ per atom
- Final energy: -3.93 eV per atom
- DOS(E_F): 2.82 states/eV/cell
- Crystal system: orthorhombic

Record 16
Material: Zr2UCu
Method: DFT, PBE-GGA
State: relaxed

Geometry as POSCAR:
```
Zr2UCu
1.0
2.988 0.000 0.000
0.000 2.988 0.000
0.000 0.000 8.899
Zr U Cu
2 1 1
direct
0.000 0.000 0.219
0.000 0.000 0.781
0.500 0.500 0.500
0.500 0.500 0.000
```

- Energy above the most stable polymorph in this dataset: 0.00 kJ per mole of atoms
- Volume: 19.863 Å³ per atom
- Final energy: -8.04 eV per atom
- DOS(E_F): 6.41 states/eV/cell
- Crystal system: tetragonal

Record 17
Material: CsReRh3
Method: DFT, PBE-GGA
State: relaxed

Geometry as POSCAR:
```
CsReRh3
1.0
4.875 0.000 0.000
0.000 4.875 0.000
0.000 0.000 4.875
Cs Re Rh
1 1 3
direct
0.000 0.000 0.000
0.500 0.500 0.500
0.000 0.000 0.500
0.000 0.500 0.000
0.500 0.000 0.000
```

- Energy above the most stable polymorph in this dataset: 177.64 kJ per mole of atoms
- Volume: 23.173 Å³ per atom
- Final energy: -4.25 eV per atom
- DOS(E_F): 6.19 states/eV/cell
- Crystal system: cubic

Record 18
Material: NdHoEr2Se6
Method: DFT, PBE-GGA
State: relaxed

Geometry as POSCAR:
```
NdHoEr2Se6
1.0
3.619 2.089 6.476
-3.619 2.089 6.476
0.000 -4.179 6.476
Nd Ho Er Se
1 1 2 6
direct
0.000 0.000 0.000
0.495 0.495 0.495
0.298 0.298 0.298
0.801 0.801 0.801
0.086 0.683 0.417
0.201 0.584 0.900
0.417 0.086 0.683
0.584 0.900 0.201
0.683 0.417 0.086
0.900 0.201 0.584
```

- Volume: 29.379 Å³ per atom
- Final energy: -5.78 eV per atom
- DOS(E_F): 0.00 states/eV/cell
- Crystal system: trigonal

Record 19
Material: NiPbBr2
Method: DFT, PBE-GGA
State: relaxed

Geometry as POSCAR:
```
NiPbBr2
1.0
0.000 3.632 3.632
3.632 0.000 3.632
3.632 3.632 0.000
Ni Pb Br
1 1 2
direct
0.000 0.000 0.000
0.250 0.250 0.250
0.500 0.500 0.500
0.750 0.750 0.750
```

- Energy above the most stable polymorph in this dataset: 63.50 kJ per mole of atoms
- Volume: 23.956 Å³ per atom
- Final energy: -2.88 eV per atom
- DOS(E_F): 3.88 states/eV/cell
- Crystal system: cubic

Record 20
Material: YCo2Mo
Method: DFT, PBE-GGA
State: relaxed

Geometry as POSCAR:
```
YCo2Mo
1.0
2.046 1.181 5.060
-2.046 1.181 5.060
0.000 -2.362 5.060
Y Co Mo
1 2 1
direct
0.000 0.000 0.000
0.196 0.196 0.196
0.520 0.520 0.520
0.809 0.809 0.809
```

- Energy above the most stable polymorph in this dataset: 16.04 kJ per mole of atoms
- Volume: 18.339 Å³ per atom
- Final energy: -7.70 eV per atom
- DOS(E_F): 4.14 states/eV/cell
- Crystal system: trigonal

Record 21
Material: DyErOsRh
Method: DFT, PBE-GGA
State: relaxed

Geometry as POSCAR:
```
DyErOsRh
1.0
0.000 3.400 3.400
3.400 0.000 3.400
3.400 3.400 0.000
Dy Er Os Rh
1 1 1 1
direct
0.000 0.000 0.000
0.500 0.500 0.500
0.250 0.250 0.250
0.750 0.750 0.750
```

- Volume: 19.652 Å³ per atom
- Final energy: -7.45 eV per atom
- DOS(E_F): 2.52 states/eV/cell
- Crystal system: cubic

Record 22
Material: CrRe2P2
Method: DFT, PBE-GGA
State: relaxed

Geometry as POSCAR:
```
CrRe2P2
1.0
6.827 0.000 0.000
0.000 6.827 0.000
0.000 0.000 2.918
Cr Re P
2 4 4
direct
0.000 0.000 0.000
0.500 0.500 0.000
0.149 0.351 0.500
0.351 0.851 0.500
0.649 0.149 0.500
0.851 0.649 0.500
0.152 0.652 0.000
0.348 0.152 0.000
0.652 0.848 0.000
0.848 0.348 0.000
```

- Energy above the most stable polymorph in this dataset: 12.15 kJ per mole of atoms
- Volume: 13.600 Å³ per atom
- Final energy: -8.98 eV per atom
- DOS(E_F): 8.47 states/eV/cell
- Crystal system: tetragonal

Record 23
Material: Na2CaAu3
Method: DFT, PBE-GGA
State: relaxed

Geometry as POSCAR:
```
Na2CaAu3
1.0
5.046 0.000 0.000
-2.523 4.370 0.000
0.000 0.000 12.334
Na Ca Au
4 2 6
direct
0.000 0.000 0.000
0.000 0.000 0.500
0.333 0.667 0.157
0.667 0.333 0.843
0.333 0.667 0.665
0.667 0.333 0.335
0.000 0.000 0.253
0.000 0.000 0.747
0.333 0.667 0.413
0.333 0.667 0.910
0.667 0.333 0.090
0.667 0.333 0.587
```

- Volume: 22.663 Å³ per atom
- Final energy: -2.90 eV per atom
- DOS(E_F): 2.43 states/eV/cell
- Crystal system: trigonal

Record 24
Material: Na2CrAg
Method: DFT, PBE-GGA
State: relaxed

Geometry as POSCAR:
```
Na2CrAg
1.0
0.000 3.598 3.598
3.598 0.000 3.598
3.598 3.598 0.000
Na Cr Ag
2 1 1
direct
0.250 0.250 0.250
0.750 0.750 0.750
0.000 0.000 0.000
0.500 0.500 0.500
```

- Energy above the most stable polymorph in this dataset: 0.00 kJ per mole of atoms
- Volume: 23.290 Å³ per atom
- Final energy: -3.23 eV per atom
- DOS(E_F): 1.45 states/eV/cell
- Crystal system: cubic